(w)
# CaSmCu

Crystalline CaSmCu at its relaxed geometry (PBE-GGA, the Alexandria database).

POSCAR file:
```
CaSmCu
1.0
-4.6975 -0.5870 -1.4919
-1.1004 -3.3839 -3.4605
-2.5057 -4.0995 1.2459
Ca Cu Sm
1 1 1
direct
0.5000 0.5000 0.5000
0.2500 0.2500 0.2500
0.0000 0.0000 0.0000
```

(x)
# CaSmCu

Crystalline CaSmCu at its relaxed geometry (PBE-GGA, the Alexandria database).

POSCAR file:
```
CaSmCu
1.0
-3.0598 2.1921 -1.2913
-0.6365 -3.0218 2.5097
0.7955 4.2280 5.2924
Ca Cu Sm
1 1 1
direct
0.3333 0.6667 0.5944
0.6667 0.3333 0.3238
0.0000 0.0000 0.0817
```

(y)
# CaSmCu

Crystalline CaSmCu at its relaxed geometry (PBE-GGA, the Alexandria database).

POSCAR file:
```
CaSmCu
1.0
3.5890 0.0000 0.0000
0.0000 3.5890 0.0000
-1.7945 -1.7945 6.4583
Ca Cu Sm
1 1 1
direct
0.0292 0.0292 0.0583
0.6749 0.6749 0.3499
0.2959 0.2959 0.5918
```

How do the energies compare? Relative to the most stable structure, in eV/atom: (w) 0.144; (x) 0.135; (y) 0.000.